VASP calculation (PBE-GGA) on Pu3N2O2 after structural relaxation.

Cell lengths 3.496, 5.868, 6.292 Å; angles 115.77, 106.13, 90.00 degrees
Each line ends with the local moment (μB).
Element x y z (fractional)
Pu 0.000 0.500 0.000  4.77
Pu 0.704 0.207 0.408  4.78
Pu 0.296 0.793 0.592  4.78
N 0.355 0.479 0.710  -0.24
N 0.645 0.521 0.290  -0.24
O 0.129 0.933 0.257  -0.14
O 0.871 0.067 0.743  -0.14

Properties
Raw formation energy (eV per atom): -1.96
Total moment (μB/atom): 2.000

---

VASP calculation (PBE-GGA) on CePm3Co after structural relaxation.

Cell lengths 5.416, 5.416, 5.416 Å; angles 90.00, 90.00, 90.00 degrees
Each line ends with the local moment (μB).
Element x y z (fractional)
Co 0.000 0.000 0.000  0.21
Ce 0.500 0.500 0.500  1.26
Pm 0.000 0.500 0.000  0.13
Pm 0.000 0.000 0.500  0.13
Pm 0.500 0.000 0.000  0.13

Properties
Total moment (μB/atom): 0.572
Formation energy from the elements (eV/atom): 0.144

---

VASP calculation (PBE-GGA) on AlZnP4 after structural relaxation.

Cell lengths 5.134, 5.134, 5.134 Å; angles 60.00, 60.00, 60.00 degrees
Element x y z (fractional)
Al 0.000 0.000 0.000
Zn 0.250 0.250 0.250
P 0.625 0.625 0.124
P 0.625 0.124 0.625
P 0.625 0.625 0.625
P 0.124 0.625 0.625

Properties
Total moment (μB/atom): 0.000
Formation energy from the elements (eV/atom): 0.538

---

VASP calculation (PBE-GGA) on BaHg2GeSe4 after structural relaxation.

Cell lengths 7.218, 6.925, 6.925 Å; angles 75.27, 58.59, 58.59 degrees
Element x y z (fractional)
Ba 0.500 0.000 0.000
Hg 0.000 0.305 0.695
Hg 0.000 0.695 0.305
Ge 0.500 0.500 0.500
Se 0.088 0.878 0.496
Se 0.912 0.504 0.122
Se 0.538 0.496 0.878
Se 0.462 0.122 0.504

Properties
Raw formation energy (eV per atom): -0.61
Total moment (μB/atom): 0.000

---

VASP calculation (PBE-GGA) on Cu6SbO8 after structural relaxation.

Cell lengths 5.549, 5.549, 5.549 Å; angles 90.02, 90.02, 90.02 degrees
Element x y z (fractional)
Cu 0.742 0.500 0.000
Cu 0.500 0.000 0.742
Cu 0.000 0.742 0.500
Cu 0.258 0.500 0.000
Cu 0.500 0.000 0.258
Cu 0.000 0.258 0.500
Sb 0.000 0.000 0.000
O 0.770 0.770 0.770
O 0.230 0.230 0.230
O 0.770 0.770 0.230
O 0.770 0.230 0.770
O 0.230 0.770 0.770
O 0.230 0.230 0.770
O 0.230 0.770 0.230
O 0.770 0.230 0.230

Properties
Distance to the lowest polymorph of the same formula (meV/atom): 85
Raw formation energy (eV per atom): -0.65
Total moment (μB/atom): 0.000

---

VASP calculation (PBE-GGA) on GaGe3Rh after structural relaxation.

Cell lengths 4.809, 4.809, 4.809 Å; angles 90.00, 90.00, 90.00 degrees
Element x y z (fractional)
Ge 0.000 0.500 0.000
Ge 0.000 0.000 0.500
Ge 0.500 0.000 0.000
Rh 0.000 0.000 0.000
Ga 0.500 0.500 0.500

Properties
Distance to the lowest polymorph of the same formula (meV/atom): 0
Total moment (μB/atom): 0.000
Formation energy from the elements (eV/atom): 0.210

---

VASP calculation (PBE-GGA) on VCr2MoBr after structural relaxation.

Cell lengths 4.844, 4.824, 4.844 Å; angles 90.00, 90.00, 90.00 degrees
Each line ends with the local moment (μB).
Element x y z (fractional)
Cr 0.000 0.000 0.500  3.18
Cr 0.500 0.000 0.000  3.71
Mo 0.000 0.000 0.000  -1.15
Br 0.500 0.500 0.500  0.09
V 0.000 0.500 0.000  2.20

Properties
Raw formation energy (eV per atom): 1.40
Total moment (μB/atom): 1.874

---

VASP calculation (PBE-GGA) on KOsPt2 after structural relaxation.

Cell lengths 5.048, 5.048, 5.048 Å; angles 131.88, 131.88, 70.41 degrees
Element x y z (fractional)
K 0.500 0.500 0.000
Os 0.750 0.250 0.500
Pt 0.000 0.000 0.000
Pt 0.250 0.750 0.500

Properties
Distance to the lowest polymorph of the same formula (meV/atom): 812
Total moment (μB/atom): 0.002
Formation energy from the elements (eV/atom): 1.076

---

VASP calculation (PBE-GGA) on Ac2La5Zn2Hg after structural relaxation.

Cell lengths 3.975, 13.041, 13.041 Å; angles 90.00, 90.00, 90.00 degrees
Element x y z (fractional)
Ac 0.000 0.681 0.181
Ac 0.000 0.319 0.819
Ac 0.000 0.181 0.319
Ac 0.000 0.819 0.681
La 0.500 0.200 0.055
La 0.500 0.800 0.945
La 0.500 0.055 0.800
La 0.500 0.700 0.445
La 0.500 0.945 0.200
La 0.500 0.300 0.555
La 0.500 0.555 0.700
La 0.500 0.445 0.300
La 0.500 0.500 0.000
La 0.500 0.000 0.500
Zn 0.000 0.129 0.629
Zn 0.000 0.871 0.371
Zn 0.000 0.629 0.871
Zn 0.000 0.371 0.129
Hg 0.000 0.000 0.000
Hg 0.000 0.500 0.500

Properties
Total moment (μB/atom): 0.000
Formation energy from the elements (eV/atom): -0.205

---

VASP calculation (PBE-GGA) on HfSe2F after structural relaxation.

Cell lengths 4.616, 4.616, 4.616 Å; angles 60.00, 60.00, 60.00 degrees
Element x y z (fractional)
Hf 0.500 0.500 0.500
Se 0.250 0.250 0.250
Se 0.750 0.750 0.750
F 0.000 0.000 0.000

Properties
Distance to the lowest polymorph of the same formula (meV/atom): 117
Raw formation energy (eV per atom): -1.09
Total moment (μB/atom): 0.000

---

VASP calculation (PBE-GGA) on Ho6Tm3Tl after structural relaxation.

Cell lengths 6.088, 10.777, 10.777 Å; angles 119.80, 90.00, 90.00 degrees
Element x y z (fractional)
Ho 0.032 0.712 0.613
Ho 0.532 0.613 0.712
Ho 0.336 0.512 0.943
Ho 0.836 0.943 0.512
Ho 0.443 0.946 0.054
Ho 0.671 0.268 0.732
Ho 0.171 0.732 0.268
Ho 0.943 0.054 0.946
Ho 0.336 0.057 0.488
Ho 0.836 0.488 0.057
Ho 0.032 0.387 0.288
Ho 0.532 0.288 0.387
Tm 0.468 0.944 0.732
Tm 0.968 0.732 0.944
Tm 0.056 0.392 0.608
Tm 0.556 0.608 0.392
Tm 0.968 0.056 0.268
Tm 0.468 0.268 0.056
Tl 0.141 0.209 0.791
Tl 0.641 0.791 0.209

Properties
Total moment (μB/atom): 0.000
Formation energy from the elements (eV/atom): 0.038

---

VASP calculation (PBE-GGA) on TbTlPdRh after structural relaxation.

Cell lengths 4.801, 4.801, 4.801 Å; angles 60.00, 60.00, 60.00 degrees
Element x y z (fractional)
Rh 0.500 0.500 0.500
Tl 0.250 0.250 0.250
Tb 0.750 0.750 0.750
Pd 0.000 0.000 0.000

Properties
Total moment (μB/atom): 0.000
Formation energy from the elements (eV/atom): -0.562

---

VASP calculation (PBE-GGA) on Pm3Ge2H after structural relaxation.

Cell lengths 5.933, 8.276, 7.191 Å; angles 106.73, 114.37, 90.00 degrees
Element x y z (fractional)
Pm 0.471 0.250 0.000
Pm 0.529 0.750 0.000
Pm 0.164 0.083 0.330
Pm 0.834 0.417 0.670
Pm 0.166 0.583 0.330
Pm 0.836 0.917 0.670
Ge 0.668 0.583 0.331
Ge 0.663 0.083 0.331
Ge 0.337 0.917 0.669
Ge 0.332 0.417 0.669
H 0.954 0.750 0.000
H 0.046 0.250 0.000

Properties
Distance to the lowest polymorph of the same formula (meV/atom): 166
Total moment (μB/atom): 0.000

---

VASP calculation (PBE-GGA) on RbSb2RuI after structural relaxation.

Cell lengths 6.203, 4.931, 6.203 Å; angles 90.00, 90.00, 90.00 degrees
Each line ends with the local moment (μB).
Element x y z (fractional)
I 0.500 0.500 0.500  0.04
Sb 0.000 0.000 0.500  0.10
Sb 0.500 0.000 0.000  0.05
Rb 0.000 0.000 0.000  0.02
Ru 0.000 0.500 0.000  -0.04

Properties
Distance to the lowest polymorph of the same formula (meV/atom): 2023
Raw formation energy (eV per atom): 1.96
Total moment (μB/atom): 0.078

---

VASP calculation (PBE-GGA) on LaTcPd3 after structural relaxation.

Cell lengths 4.856, 4.856, 4.856 Å; angles 90.00, 90.00, 90.00 degrees
Element x y z (fractional)
Tc 0.000 0.000 0.000
Pd 0.000 0.500 0.000
Pd 0.000 0.000 0.500
Pd 0.500 0.000 0.000
La 0.500 0.500 0.500

Properties
Distance to the lowest polymorph of the same formula (meV/atom): 0
Total moment (μB/atom): 0.000
Formation energy from the elements (eV/atom): 0.258

---

VASP calculation (PBE-GGA) on LaAl2Mo2 after structural relaxation.

Cell lengths 4.587, 4.587, 5.973 Å; angles 67.42, 67.42, 90.00 degrees
Element x y z (fractional)
Mo 0.386 0.386 0.228
Mo 0.614 0.614 0.772
Al 0.750 0.250 0.500
Al 0.250 0.750 0.500
La 0.000 0.000 0.000

Properties
Distance to the lowest polymorph of the same formula (meV/atom): 108
Total moment (μB/atom): 0.000
Formation energy from the elements (eV/atom): 0.093

---

VASP calculation (PBE-GGA) on BeZnNi2Pd after structural relaxation.

Cell lengths 4.271, 4.037, 4.271 Å; angles 90.00, 90.00, 90.00 degrees
Element x y z (fractional)
Ni 0.000 0.000 0.500
Ni 0.500 0.000 0.000
Zn 0.000 0.000 0.000
Pd 0.500 0.500 0.500
Be 0.000 0.500 0.000

Properties
Total moment (μB/atom): 0.000
Formation energy from the elements (eV/atom): 0.801

---

VASP calculation (PBE-GGA) on Tb6Pm2DyEr3 after structural relaxation.

Cell lengths 6.164, 6.164, 11.797 Å; angles 94.97, 94.97, 119.96 degrees
Element x y z (fractional)
Tb 0.915 0.582 0.747
Tb 0.752 0.752 0.253
Tb 0.085 0.418 0.253
Tb 0.582 0.915 0.747
Tb 0.248 0.248 0.747
Tb 0.418 0.085 0.253
Pm 0.333 0.667 0.000
Pm 0.667 0.333 0.000
Dy 0.000 0.000 0.000
Er 0.166 0.834 0.500
Er 0.834 0.166 0.500
Er 0.500 0.500 0.500

Properties
Total moment (μB/atom): 0.000
Formation energy from the elements (eV/atom): 0.016

---

VASP calculation (PBE-GGA) on LiPrSiPd after structural relaxation.

Cell lengths 4.704, 4.704, 4.704 Å; angles 60.00, 60.00, 60.00 degrees
Element x y z (fractional)
Pr 0.250 0.250 0.250
Si 0.750 0.750 0.750
Pd 0.000 0.000 0.000
Li 0.500 0.500 0.500

Properties
Raw formation energy (eV per atom): -0.59
Total moment (μB/atom): 0.000

---

VASP calculation (PBE-GGA) on Pm2S3I after structural relaxation.

Cell lengths 7.418, 7.357, 7.357 Å; angles 119.85, 90.00, 90.00 degrees
Element x y z (fractional)
Pm 0.500 0.833 0.167
Pm 0.000 0.833 0.167
Pm 0.000 0.167 0.833
Pm 0.500 0.167 0.833
S 0.750 0.500 0.001
S 0.750 0.001 0.500
S 0.250 0.500 0.999
S 0.750 0.001 0.001
S 0.250 0.999 0.999
S 0.250 0.999 0.500
I 0.250 0.499 0.499
I 0.750 0.501 0.501

Properties
Raw formation energy (eV per atom): -1.50
Total moment (μB/atom): 0.001

---

VASP calculation (PBE-GGA) on Sc2Ta2Ag after structural relaxation.

Cell lengths 7.218, 7.218, 4.034 Å; angles 90.00, 90.00, 90.00 degrees
Element x y z (fractional)
Sc 0.164 0.664 0.500
Sc 0.664 0.836 0.500
Sc 0.836 0.336 0.500
Sc 0.336 0.164 0.500
Ag 0.000 0.000 0.000
Ag 0.500 0.500 0.000
Ta 0.371 0.871 0.000
Ta 0.871 0.629 0.000
Ta 0.629 0.129 0.000
Ta 0.129 0.371 0.000

Properties
Total moment (μB/atom): 0.000
Formation energy from the elements (eV/atom): 0.416

---

VASP calculation (PBE-GGA) on LaRuS3 after structural relaxation.

Cell lengths 4.682, 4.682, 4.682 Å; angles 90.00, 90.00, 90.00 degrees
Each line ends with the local moment (μB).
Element x y z (fractional)
Ru 0.000 0.000 0.000  1.01
S 0.000 0.500 0.000  0.03
S 0.000 0.000 0.500  0.01
S 0.500 0.000 0.000  0.14
La 0.500 0.500 0.500  0.03

Properties
Distance to the lowest polymorph of the same formula (meV/atom): 0
Raw formation energy (eV per atom): -0.87
Total moment (μB/atom): 0.287

---

VASP calculation (PBE-GGA) on GdSbPt after structural relaxation.

Cell lengths 4.708, 4.708, 4.708 Å; angles 60.00, 60.00, 60.00 degrees
Each line ends with the local moment (μB).
Element x y z (fractional)
Sb 0.000 0.000 0.000  -0.03
Gd 0.500 0.500 0.500  7.01
Pt 0.750 0.750 0.750  -0.04

Properties
Raw formation energy (eV per atom): -1.20
Total moment (μB/atom): 2.335

---

VASP calculation (PBE-GGA) on LuReS2 after structural relaxation.

Cell lengths 3.313, 3.313, 8.614 Å; angles 78.91, 78.91, 60.00 degrees
Element x y z (fractional)
Re 0.500 0.500 0.500
S 0.106 0.106 0.681
S 0.894 0.894 0.319
Lu 0.000 0.000 0.000

Properties
Raw formation energy (eV per atom): -0.22
Total moment (μB/atom): 0.000

---

VASP calculation (PBE-GGA) on Ce8GeBi5 after structural relaxation.

Cell lengths 8.289, 8.289, 8.289 Å; angles 109.45, 109.52, 109.45 degrees
Each line ends with the local moment (μB).
Element x y z (fractional)
Ce 0.129 0.731 0.010  1.11
Ce 0.990 0.119 0.721  1.11
Ce 0.789 0.259 0.390  1.16
Ce 0.610 0.399 0.869  1.16
Ce 0.470 0.601 0.211  1.16
Ce 0.602 0.881 0.871  1.11
Ce 0.279 0.269 0.398  1.11
Ce 0.131 0.741 0.530  1.16
Ge 0.250 0.500 0.750  -0.06
Bi 0.989 0.364 0.116  -0.05
Bi 0.884 0.873 0.248  -0.05
Bi 0.752 0.636 0.625  -0.05
Bi 0.500 0.000 0.500  -0.05
Bi 0.375 0.127 0.011  -0.05

Properties
Total moment (μB/atom): 0.887
Formation energy from the elements (eV/atom): -0.678